1.
First-principles (PBE) data for a geometry-optimized ZnRu3S structure, as listed in Alexandria via LeMat-Bulk.

The structure in POSCAR format:
```
ZnRu3S
1.0
4.3120 0.0000 0.0000
0.0000 4.3120 0.0000
0.0000 0.0000 4.3120
Ru Zn S
3 1 1
Cartesian
0.0000 2.1560 0.0000 Ru
0.0000 0.0000 2.1560 Ru
2.1560 0.0000 0.0000 Ru
2.1560 2.1560 2.1560 Zn
0.0000 0.0000 0.0000 S
```

Computed properties:
Space-group type   Pm-3m, No. 221
ΔE to the lowest computed polymorph   0.0000 eV/atom
Size of the total moment   0.000 μB per atom
Uncorrected energy   -31.2 eV for the cell shown
Crystal system   cubic
Formation energy from raw total energies   0.402 eV/atom



2.
First-principles (PBE) data for a geometry-optimized Zr3RuS structure, as listed in Alexandria via LeMat-Bulk.

The structure in POSCAR format:
```
Zr3RuS
1.0
5.0090 0.0000 0.0000
0.0000 5.0090 0.0000
0.0000 0.0000 5.0090
Ru S Zr
1 1 3
Cartesian
0.0000 0.0000 0.0000 Ru
2.5045 2.5045 2.5045 S
0.0000 2.5045 0.0000 Zr
0.0000 0.0000 2.5045 Zr
2.5045 0.0000 0.0000 Zr
```

Computed properties:
Space-group type   Pm-3m, No. 221
ΔE to the lowest computed polymorph   0.4721 eV/atom
Size of the total moment   0.000 μB per atom
Uncorrected energy   -37.6 eV for the cell shown
Crystal system   cubic
Formation energy from raw total energies   0.291 eV/atom



3.
First-principles (PBE) data for a geometry-optimized ZrRuS2 structure, as listed in Alexandria via LeMat-Bulk.

The structure in POSCAR format:
```
ZrRuS2
1.0
1.9099 0.0000 8.0067
-0.9549 1.6540 8.0067
-0.9549 -1.6540 8.0067
Ru S Zr
1 2 1
Cartesian
0.0000 0.0000 12.0100 Ru
0.0000 0.0000 21.4705 S
0.0000 0.0000 2.5495 S
0.0000 0.0000 0.0000 Zr
```

Computed properties:
Space-group type   R-3m, No. 166
ΔE to the lowest computed polymorph   0.3801 eV/atom
Size of the total moment   0.006 μB per atom
Uncorrected energy   -27.0 eV for the cell shown
Crystal system   trigonal
Formation energy from raw total energies   -0.225 eV/atom



4.
First-principles (PBE) data for a geometry-optimized ZrRu3S structure, as listed in Alexandria via LeMat-Bulk.

The structure in POSCAR format:
```
ZrRu3S
1.0
4.8458 0.0000 0.0000
0.0000 4.8458 0.0000
0.0000 0.0000 4.8458
Ru S Zr
3 1 1
Cartesian
0.0000 2.4229 0.0000 Ru
0.0000 0.0000 2.4229 Ru
2.4229 0.0000 0.0000 Ru
2.4229 2.4229 2.4229 S
0.0000 0.0000 0.0000 Zr
```

Computed properties:
Space-group type   Pm-3m, No. 221
ΔE to the lowest computed polymorph   1.8882 eV/atom
Size of the total moment   0.889 μB per atom
Uncorrected energy   -31.0 eV for the cell shown
Crystal system   cubic
Formation energy from raw total energies   1.901 eV/atom



5.
First-principles (PBE) data for a geometry-optimized ZrRuS2 structure, as listed in Alexandria via LeMat-Bulk.

The structure in POSCAR format:
```
ZrRuS2
1.0
0.0000 3.1272 3.1272
3.1272 0.0000 3.1272
3.1272 3.1272 0.0000
Ru S Zr
1 2 1
Cartesian
3.1272 3.1272 3.1272 Ru
1.5636 1.5636 1.5636 S
4.6907 4.6907 4.6907 S
0.0000 0.0000 0.0000 Zr
```

Computed properties:
Space-group type   Fm-3m, No. 225
ΔE to the lowest computed polymorph   0.0313 eV/atom
Size of the total moment   0.000 μB per atom
Uncorrected energy   -28.4 eV for the cell shown
Crystal system   cubic
Formation energy from raw total energies   -0.574 eV/atom



6.
First-principles (PBE) data for a geometry-optimized ZrRuS2 structure, as listed in Alexandria via LeMat-Bulk.

The structure in POSCAR format:
```
ZrRuS2
1.0
5.4753 0.0000 0.0000
0.0000 5.4753 0.0000
2.7376 2.7376 5.5114
Ru S Zr
2 4 2
Cartesian
0.0000 0.0000 0.0000 Ru
5.4753 2.7376 2.7557 Ru
4.2744 1.3688 1.3779 S
1.2009 4.1064 1.3779 S
4.1064 3.9385 4.1336 S
6.8441 7.0120 4.1336 S
2.7376 2.7376 0.0000 Zr
2.7376 5.4753 2.7557 Zr
```

Computed properties:
Space-group type   I-42d, No. 122
ΔE to the lowest computed polymorph   0.0000 eV/atom
Size of the total moment   0.000 μB per atom
Uncorrected energy   -57.0 eV for the cell shown
Crystal system   tetragonal
Formation energy from raw total energies   -0.606 eV/atom



7.
First-principles (PBE) data for a geometry-optimized ZrRuS2 structure, as listed in Alexandria via LeMat-Bulk.

The structure in POSCAR format:
```
ZrRuS2
1.0
1.9290 0.0000 7.8961
-0.9645 1.6705 7.8961
-0.9645 -1.6705 7.8961
Ru S Zr
1 2 1
Cartesian
0.0000 0.0000 0.0000 Ru
0.0000 0.0000 21.4262 S
0.0000 0.0000 2.2620 S
0.0000 0.0000 11.8441 Zr
```

Computed properties:
Space-group type   R-3m, No. 166
ΔE to the lowest computed polymorph   0.1390 eV/atom
Size of the total moment   0.000 μB per atom
Uncorrected energy   -27.9 eV for the cell shown
Crystal system   trigonal
Formation energy from raw total energies   -0.466 eV/atom



8.
First-principles (PBE) data for a geometry-optimized ZrRu3S structure, as listed in Alexandria via LeMat-Bulk.

The structure in POSCAR format:
```
ZrRu3S
1.0
-2.5243 0.6909 -3.4846
-3.5357 -0.9026 2.3824
-0.3440 4.2071 1.0834
Ru S Zr
3 1 1
Cartesian
-1.7679 -0.4513 1.1912 Ru
-0.1720 2.1036 0.5417 Ru
-1.2621 0.3454 -1.7423 Ru
0.0000 0.0000 0.0000 S
-3.2020 1.9977 -0.0094 Zr
```

Computed properties:
Space-group type   Pm-3m, No. 221
ΔE to the lowest computed polymorph   0.0000 eV/atom
Size of the total moment   0.000 μB per atom
Uncorrected energy   -40.4 eV for the cell shown
Crystal system   cubic
Formation energy from raw total energies   0.013 eV/atom